(1)
Density functional theory data (PBE-GGA) for a relaxed structure of Ho3HgTe2.

Summary:
Formation energy (no corrections) in eV per atom: -0.988
Electronic total energy in eV/atom: -4.37
Spin magnetization in μB/atom: 0.000
Distance to the lowest polymorph of the same formula in eV per atom: 0.013

Cell: 8.817 12.256 25.532 Å, 90.00 90.00 90.00°
Space group Fddd (No. 70, origin choice 2)
Symmetry-distinct sites (fractional):
Ho 0.115 0.375 0.375 x16
Ho 0.120 0.370 0.210 x32
Hg 0.125 0.125 0.042 x16
Te 0.125 0.125 0.377 x16
Te 0.125 0.125 0.544 x16

***

(2)
Density functional theory data (PBE-GGA) for a relaxed structure of Ho4HgTe5.

Summary:
Formation energy (no corrections) in eV per atom: -1.091
Electronic total energy in eV/atom: -4.52
Spin magnetization in μB/atom: 0.000

Cell: 20.099 4.282 9.045 Å, 90.00 106.10 90.00°
Space group C2/m (No. 12)
Symmetry-distinct sites (fractional):
Ho 0.023 0.000 0.247 x4
Ho 0.167 0.500 0.546 x4
Hg 0.000 0.500 0.500 x2
Te 0.000 0.500 0.000 x2
Te 0.124 0.000 0.735 x4
Te 0.179 0.000 0.307 x4

***

(3)
Density functional theory data (PBE-GGA) for a relaxed structure of HoHgTe2.

Summary:
Formation energy (no corrections) in eV per atom: -0.760
Electronic total energy in eV/atom: -3.55
Spin magnetization in μB/atom: 0.000
Distance to the lowest polymorph of the same formula in eV per atom: 0.000

Cell: 4.3861 4.3861 23.5691 Å, 90.00 90.00 120.00°
Space group R3m (No. 160, hexagonal axes)
Symmetry-distinct sites (fractional):
Ho 0.0000 0.0000 0.0000 x3
Hg 0.0000 0.0000 0.8336 x3
Te 0.0000 0.0000 0.4090 x3
Te 0.0000 0.0000 0.5939 x3

***

(4)
Density functional theory data (PBE-GGA) for a relaxed structure of HoHgTe2.

Summary:
Formation energy (no corrections) in eV per atom: -0.754
Electronic total energy in eV/atom: -3.54
Spin magnetization in μB/atom: 0.000
Distance to the lowest polymorph of the same formula in eV per atom: 0.006

Cell: 4.4673 4.4673 27.7345 Å, 90.00 90.00 120.00°
Space group P3_221 (No. 154)
Symmetry-distinct sites (fractional):
Ho 0.0000 0.6711 0.3333 x3
Hg 0.0000 0.6639 0.8333 x3
Te 0.0044 0.6669 0.7264 x6

***

> Which formula does entry 1 have?

Ho3HgTe2

***

> Look up the spin magnetization of the first one.

0.000 μB/atom